--- i ---
{
  "formula": "LiMgIn",
  "functional": "SCAN",
  "state": "PBEsol geometry",
  "space_group": "F-43m, No. 216",
  "m_tot_mub_per_atom": 0.000,
  "lattice": [[-4.131, -0.703, 1.730], [-0.551, -0.343, 4.487], [-2.093, 3.308, 2.286]],
  "species": ["Li", "In", "Mg"],
  "frac_coords": [[0.250, 0.250, 0.250], [0.500, 0.500, 0.500], [0.000, 0.000, 0.000]]
}



--- ii ---
{
  "formula": "LiMgIn",
  "functional": "SCAN",
  "state": "PBEsol geometry",
  "space_group": "P3m1, No. 156",
  "m_tot_mub_per_atom": 0.000,
  "lattice": [[-2.072, -2.120, 0.964], [2.821, -1.095, 3.656], [-3.271, 3.407, 0.464]],
  "species": ["In", "Mg", "Li"],
  "frac_coords": [[0.950, 0.000, 0.000], [0.342, 0.667, 0.333], [0.708, 0.333, 0.667]]
}



ii wins, 21.6 kJ/mol of atoms ahead of the next structure.



--- i ---
{
  "formula": "Sb2MoBr",
  "functional": "SCAN",
  "state": "PBEsol geometry",
  "space_group": "Immm, No. 71",
  "m_tot_mub_per_atom": 0.002,
  "lattice": [[-2.166, -0.359, 2.287], [-1.321, -4.223, -1.915], [5.843, -0.549, 3.251]],
  "species": ["Mo", "Sb", "Br", "Sb"],
  "frac_coords": [[0.000, 0.500, 0.000], [0.313, 0.313, 0.627], [0.500, 0.000, 0.000], [0.687, 0.687, 0.373]]
}



--- ii ---
{
  "formula": "Sb2MoBr",
  "functional": "SCAN",
  "state": "PBEsol geometry",
  "space_group": "R3m, No. 160",
  "m_tot_mub_per_atom": 0.001,
  "lattice": [[3.343, 0.000, 0.000], [1.672, 2.895, 0.000], [1.672, 0.965, 9.330]],
  "species": ["Mo", "Sb", "Br", "Sb"],
  "frac_coords": [[0.251, 0.251, 0.248], [0.986, 0.986, 0.042], [0.521, 0.521, 0.438], [0.743, 0.743, 0.772]]
}



ii wins, 22.9 kJ/mol of atoms ahead of the next structure.



--- i ---
{
  "formula": "H2S",
  "functional": "SCAN",
  "state": "PBEsol geometry",
  "space_group": "Ibca, No. 73",
  "m_tot_mub_per_atom": 0.000,
  "lattice": [[7.376, 0.188, -0.304], [-2.969, 6.754, 0.304], [3.071, 2.921, 6.047]],
  "species": ["S", "S", "H", "H", "H", "H", "S", "S", "H", "S", "H", "H", "H", "S", "H", "H", "S", "H", "H", "H", "H", "H", "H", "S"],
  "frac_coords": [[0.477, 0.727, 0.250], [0.523, 0.273, 0.750], [0.505, 0.415, 0.265], [0.005, 0.590, 0.725], [0.505, 0.230, 0.585], [0.320, 0.085, 0.410], [0.027, 0.250, 0.723], [0.023, 0.773, 0.750], [0.685, 0.910, 0.085], [0.973, 0.750, 0.277], [0.995, 0.410, 0.275], [0.005, 0.270, 0.910], [0.180, 0.770, 0.235], [0.527, 0.250, 0.223], [0.995, 0.730, 0.090], [0.680, 0.915, 0.590], [0.977, 0.227, 0.250], [0.185, 0.270, 0.225], [0.815, 0.730, 0.775], [0.495, 0.585, 0.735], [0.820, 0.230, 0.765], [0.495, 0.770, 0.415], [0.315, 0.090, 0.915], [0.473, 0.750, 0.777]]
}



--- ii ---
{
  "formula": "H2S",
  "functional": "SCAN",
  "state": "PBEsol geometry",
  "space_group": "I4_1/acd, No. 142",
  "m_tot_mub_per_atom": 0.000,
  "lattice": [[7.866, -0.030, -0.043], [-3.802, 6.886, 0.043], [-3.802, -2.379, 6.462]],
  "species": ["H", "H", "H", "H", "H", "H", "S", "S", "H", "H", "H", "S", "S", "H", "H", "S", "H", "H", "H", "S", "H", "S", "H", "S"],
  "frac_coords": [[0.270, 0.029, 0.810], [0.220, 0.529, 0.260], [0.730, 0.540, 0.760], [0.220, 0.190, 0.460], [0.230, 0.010, 0.290], [0.720, 0.710, 0.940], [0.341, 0.216, 0.375], [0.659, 0.034, 0.875], [0.280, 0.560, 0.790], [0.770, 0.210, 0.490], [0.270, 0.740, 0.960], [0.841, 0.625, 0.966], [0.159, 0.534, 0.875], [0.280, 0.221, 0.990], [0.720, 0.510, 0.279], [0.159, 0.125, 0.784], [0.770, 0.060, 0.779], [0.780, 0.040, 0.310], [0.780, 0.240, 0.971], [0.659, 0.125, 0.284], [0.230, 0.721, 0.440], [0.841, 0.716, 0.375], [0.730, 0.690, 0.471], [0.341, 0.625, 0.466]]
}



i wins, 2.7 kJ/mol of atoms ahead of the next structure.



--- i ---
{
  "formula": "Mn2TlFe",
  "functional": "SCAN",
  "state": "PBEsol geometry",
  "space_group": "Imm2, No. 44",
  "m_tot_mub_per_atom": 2.341,
  "lattice": [[3.286, 0.000, 0.000], [0.000, 4.172, 0.000], [-1.643, -2.086, 4.042]],
  "species": ["Mn", "Fe", "Tl", "Mn"],
  "frac_coords": [[0.989, 0.989, 0.979], [0.268, 0.768, 0.536], [0.505, 0.505, 0.010], [0.737, 0.237, 0.475]]
}



--- ii ---
{
  "formula": "Mn2TlFe",
  "functional": "SCAN",
  "state": "PBEsol geometry",
  "space_group": "R3m, No. 160",
  "m_tot_mub_per_atom": 1.928,
  "lattice": [[-0.266, 2.754, -0.616], [-1.782, 0.829, -2.042], [-6.738, 1.852, 4.665]],
  "species": ["Tl", "Mn", "Mn", "Fe"],
  "frac_coords": [[0.501, 0.501, 0.496], [0.738, 0.738, 0.786], [0.998, 0.998, 0.005], [0.262, 0.262, 0.214]]
}



i wins, 19.1 kJ/mol of atoms ahead of the next structure.



--- i ---
{
  "formula": "TlP2Rh",
  "functional": "SCAN",
  "state": "PBEsol geometry",
  "space_group": "I-4m2, No. 119",
  "m_tot_mub_per_atom": 0.000,
  "lattice": [[-2.233, -3.321, -1.009], [3.469, -2.174, -0.522], [-0.722, 1.687, 4.485]],
  "species": ["Rh", "P", "P", "Tl"],
  "frac_coords": [[0.500, 0.500, 0.000], [0.750, 0.250, 0.500], [0.000, 0.000, 0.000], [0.250, 0.750, 0.500]]
}



--- ii ---
{
  "formula": "TlP2Rh",
  "functional": "SCAN",
  "state": "PBEsol geometry",
  "space_group": "P2/m, No. 10",
  "m_tot_mub_per_atom": 0.000,
  "lattice": [[3.831, 0.000, 0.000], [0.000, 4.374, 0.084], [0.000, -1.760, 4.566]],
  "species": ["P", "Tl", "P", "Rh"],
  "frac_coords": [[0.000, 0.239, 0.388], [0.500, 0.500, 0.000], [0.000, 0.761, 0.612], [0.500, 0.000, 0.500]]
}



ii wins, 84.7 kJ/mol of atoms ahead of the next structure.



--- i ---
{
  "formula": "LiLaBr2",
  "functional": "SCAN",
  "state": "PBEsol geometry",
  "space_group": "P4/mmm, No. 123",
  "m_tot_mub_per_atom": 0.105,
  "lattice": [[-2.627, 2.619, -0.377], [-0.574, -1.083, -3.522], [-4.810, -4.511, 2.171]],
  "species": ["Br", "Li", "La", "Br"],
  "frac_coords": [[0.000, 0.000, 0.757], [0.500, 0.500, 0.500], [0.500, 0.500, 0.000], [0.000, 0.000, 0.243]]
}



--- ii ---
{
  "formula": "LiLaBr2",
  "functional": "SCAN",
  "state": "PBEsol geometry",
  "space_group": "Amm2, No. 38",
  "m_tot_mub_per_atom": 0.000,
  "lattice": [[4.078, 0.000, 0.030], [0.000, 4.207, 0.000], [-0.045, -2.104, 5.756]],
  "species": ["La", "Br", "Li", "Br"],
  "frac_coords": [[0.625, 0.531, 0.061], [0.624, 0.240, 0.480], [0.126, 0.757, 0.513], [0.125, 0.973, 0.946]]
}



ii wins, 4.4 kJ/mol of atoms ahead of the next structure.



--- i ---
{
  "formula": "Al2CdCo2",
  "functional": "SCAN",
  "state": "PBEsol geometry",
  "space_group": "I4/mmm, No. 139",
  "m_tot_mub_per_atom": 0.000,
  "lattice": [[-1.045, 1.836, -3.348], [2.880, -1.900, -1.940], [-3.956, -3.542, 1.633]],
  "species": ["Co", "Al", "Cd", "Co", "Al"],
  "frac_coords": [[0.250, 0.750, 0.500], [0.632, 0.632, 0.264], [0.000, 0.000, 0.000], [0.750, 0.250, 0.500], [0.368, 0.368, 0.736]]
}



--- ii ---
{
  "formula": "Al2CdCo2",
  "functional": "SCAN",
  "state": "PBEsol geometry",
  "space_group": "I4/mmm, No. 139",
  "m_tot_mub_per_atom": 0.171,
  "lattice": [[-0.860, -1.815, 3.103], [0.359, -3.218, -1.783], [5.377, 2.354, 0.665]],
  "species": ["Al", "Co", "Cd", "Al", "Co"],
  "frac_coords": [[0.250, 0.750, 0.500], [0.394, 0.394, 0.789], [0.000, 0.000, 0.000], [0.750, 0.250, 0.500], [0.606, 0.606, 0.211]]
}



ii wins, 9.5 kJ/mol of atoms ahead of the next structure.



--- i ---
{
  "formula": "La2ZnCl",
  "functional": "SCAN",
  "state": "PBEsol geometry",
  "space_group": "Pmmm, No. 47",
  "m_tot_mub_per_atom": 0.000,
  "lattice": [[3.667, 0.000, 0.000], [0.000, 3.630, 0.027], [0.000, -0.064, 8.197]],
  "species": ["Zn", "La", "Cl", "La"],
  "frac_coords": [[0.500, 0.000, 0.500], [0.000, 0.500, 0.278], [0.500, 0.500, 0.000], [0.000, 0.500, 0.722]]
}



--- ii ---
{
  "formula": "La2ZnCl",
  "functional": "SCAN",
  "state": "PBEsol geometry",
  "space_group": "R-3m, No. 166",
  "m_tot_mub_per_atom": 0.006,
  "lattice": [[4.239, 0.000, 0.000], [2.119, 3.671, 0.000], [2.119, 1.224, 6.866]],
  "species": ["La", "Cl", "La", "Zn"],
  "frac_coords": [[0.745, 0.745, 0.765], [0.000, 0.000, 0.000], [0.255, 0.255, 0.235], [0.500, 0.500, 0.500]]
}



ii wins, 1.9 kJ/mol of atoms ahead of the next structure.



--- i ---
{
  "formula": "YBe2Ni",
  "functional": "SCAN",
  "state": "PBEsol geometry",
  "space_group": "R-3m, No. 166",
  "m_tot_mub_per_atom": 0.031,
  "lattice": [[-3.445, 1.131, 0.790], [-1.745, -1.320, 2.998], [0.040, 3.510, 3.866]],
  "species": ["Be", "Be", "Y", "Ni"],
  "frac_coords": [[0.307, 0.307, 0.080], [0.693, 0.693, 0.920], [0.500, 0.500, 0.500], [0.000, 0.000, 0.000]]
}



--- ii ---
{
  "formula": "YBe2Ni",
  "functional": "SCAN",
  "state": "PBEsol geometry",
  "space_group": "Immm, No. 71",
  "m_tot_mub_per_atom": 0.000,
  "lattice": [[4.043, 0.000, 0.000], [2.021, 3.724, 0.022], [2.021, 0.883, 3.618]],
  "species": ["Be", "Y", "Ni", "Be"],
  "frac_coords": [[0.297, 0.703, 0.703], [0.500, 0.000, 0.000], [0.000, 0.500, 0.500], [0.703, 0.297, 0.297]]
}



i wins, 31.5 kJ/mol of atoms ahead of the next structure.



--- i ---
{
  "formula": "Ta2OsW",
  "functional": "SCAN",
  "state": "PBEsol geometry",
  "space_group": "P4/mmm, No. 123",
  "m_tot_mub_per_atom": 0.000,
  "lattice": [[3.176, 0.000, 0.000], [0.000, 3.176, 0.000], [0.000, 0.000, 6.383]],
  "species": ["Ta", "Os", "W", "Ta"],
  "frac_coords": [[0.000, 0.000, 0.248], [0.500, 0.500, 0.500], [0.500, 0.500, 0.000], [0.000, 0.000, 0.752]]
}



--- ii ---
{
  "formula": "Ta2OsW",
  "functional": "SCAN",
  "state": "PBEsol geometry",
  "space_group": "Fm-3m, No. 225",
  "m_tot_mub_per_atom": 0.000,
  "lattice": [[4.494, 0.000, 0.000], [2.247, 3.892, 0.000], [2.247, 1.297, 3.669]],
  "species": ["W", "Ta", "Os", "Ta"],
  "frac_coords": [[0.000, 0.000, 0.000], [0.750, 0.750, 0.750], [0.500, 0.500, 0.500], [0.250, 0.250, 0.250]]
}



ii wins, 3.7 kJ/mol of atoms ahead of the next structure.



--- i ---
{
  "formula": "NiRh2",
  "functional": "SCAN",
  "state": "PBEsol geometry",
  "space_group": "I4/mmm, No. 139",
  "m_tot_mub_per_atom": 0.572,
  "lattice": [[2.648, 0.000, 0.000], [0.000, 2.648, 0.000], [-1.324, -1.324, 5.359]],
  "species": ["Rh", "Rh", "Ni"],
  "frac_coords": [[0.663, 0.663, 0.325], [0.337, 0.337, 0.675], [0.000, 0.000, 0.000]]
}



--- ii ---
{
  "formula": "NiRh2",
  "functional": "SCAN",
  "state": "PBEsol geometry",
  "space_group": "Pmmm, No. 47",
  "m_tot_mub_per_atom": 0.484,
  "lattice": [[2.642, 0.000, 0.000], [0.000, 3.636, 0.000], [0.000, 0.000, 7.847]],
  "species": ["Rh", "Rh", "Ni", "Rh", "Rh", "Ni"],
  "frac_coords": [[0.500, 0.500, 0.827], [0.000, 0.000, 0.000], [0.000, 0.000, 0.338], [0.500, 0.500, 0.500], [0.500, 0.500, 0.173], [0.000, 0.000, 0.662]]
}



ii wins, 1.7 kJ/mol of atoms ahead of the next structure.



--- i ---
{
  "formula": "ZrSi2Tc",
  "functional": "SCAN",
  "state": "PBEsol geometry",
  "space_group": "C2/m, No. 12",
  "m_tot_mub_per_atom": 0.000,
  "lattice": [[3.081, 0.000, 0.000], [-1.541, 3.916, 0.002], [0.000, -1.068, 5.280]],
  "species": ["Zr", "Si", "Si", "Tc"],
  "frac_coords": [[0.500, 0.000, 0.000], [0.737, 0.475, 0.682], [0.263, 0.525, 0.318], [0.000, 0.000, 0.500]]
}



--- ii ---
{
  "formula": "ZrSi2Tc",
  "functional": "SCAN",
  "state": "PBEsol geometry",
  "space_group": "Pmmm, No. 47",
  "m_tot_mub_per_atom": 0.000,
  "lattice": [[3.428, 0.000, 0.000], [0.000, 3.982, 0.000], [0.000, 0.000, 4.446]],
  "species": ["Zr", "Tc", "Si", "Si"],
  "frac_coords": [[0.000, 0.500, 0.500], [0.500, 0.500, 0.000], [0.000, 0.000, 0.000], [0.500, 0.000, 0.500]]
}



i wins, 17.2 kJ/mol of atoms ahead of the next structure.



--- i ---
{
  "formula": "Mn2SeCl",
  "functional": "SCAN",
  "state": "PBEsol geometry",
  "space_group": "Immm, No. 71",
  "m_tot_mub_per_atom": 2.263,
  "lattice": [[3.840, 0.000, 0.000], [1.920, 4.358, 0.024], [1.920, 0.882, 4.268]],
  "species": ["Cl", "Se", "Mn", "Mn"],
  "frac_coords": [[0.500, 0.000, 0.000], [0.000, 0.500, 0.500], [0.757, 0.243, 0.243], [0.243, 0.757, 0.757]]
}



--- ii ---
{
  "formula": "Mn2SeCl",
  "functional": "SCAN",
  "state": "PBEsol geometry",
  "space_group": "Fm-3m, No. 225",
  "m_tot_mub_per_atom": 2.250,
  "lattice": [[4.583, 0.000, 0.000], [2.292, 3.969, 0.000], [2.292, 1.323, 3.742]],
  "species": ["Cl", "Mn", "Se", "Mn"],
  "frac_coords": [[0.500, 0.500, 0.500], [0.250, 0.250, 0.250], [0.000, 0.000, 0.000], [0.750, 0.750, 0.750]]
}



i wins, 4.1 kJ/mol of atoms ahead of the next structure.



--- i ---
{
  "formula": "CaHg2Br",
  "functional": "SCAN",
  "state": "PBEsol geometry",
  "space_group": "F-43m, No. 216",
  "m_tot_mub_per_atom": 0.000,
  "lattice": [[5.241, 0.000, 0.000], [2.620, 4.539, 0.000], [2.620, 1.513, 4.279]],
  "species": ["Hg", "Hg", "Ca", "Br"],
  "frac_coords": [[0.750, 0.750, 0.750], [0.000, 0.000, 0.000], [0.250, 0.250, 0.250], [0.500, 0.500, 0.500]]
}



--- ii ---
{
  "formula": "CaHg2Br",
  "functional": "SCAN",
  "state": "PBEsol geometry",
  "space_group": "Cmmm, No. 65",
  "m_tot_mub_per_atom": 0.000,
  "lattice": [[-3.713, -0.904, 1.246], [2.041, -3.891, 3.257], [-0.455, 4.966, 2.247]],
  "species": ["Br", "Ca", "Hg", "Hg"],
  "frac_coords": [[0.500, 0.000, 0.000], [0.500, 0.500, 0.500], [0.000, 0.000, 0.500], [0.000, 0.500, 0.000]]
}



ii wins, 8.8 kJ/mol of atoms ahead of the next structure.